# 1
The following is a DFT calculation (GGA-PBE) of crystalline Cs2AlGeRu at its relaxed geometry.

Cell: 6.944 6.944 4.654 Å, 90.00 90.00 90.00°
Element x y z (fractional)
1 Cs 0.000 0.500 0.000
2 Cs 0.500 0.000 0.000
3 Al 0.000 0.000 0.500
4 Ge 0.500 0.500 0.000
5 Ru 0.500 0.500 0.500

Summary:
theoretical density	3.45	g/cm³
SG	P4/mmm, No. 123
density of states at the Fermi level	8.66	states/eV/f.u.
formation enthalpy at 0 K	20.55	kcal/mol of atoms

# 2
The following is a DFT calculation (GGA-PBE) of crystalline KNa15Hg4 at its relaxed geometry.

Cell: 5.050 5.050 24.881 Å, 90.00 90.00 90.00°
Element x y z (fractional)
1 K 0.000 0.000 0.000
2 Na 0.000 0.500 0.126
3 Na 0.000 0.500 0.311
4 Na 0.000 0.500 0.500
5 Na 0.000 0.500 0.689
6 Na 0.000 0.500 0.874
7 Na 0.500 0.000 0.126
8 Na 0.500 0.000 0.311
9 Na 0.500 0.000 0.500
10 Na 0.500 0.000 0.689
11 Na 0.500 0.000 0.874
12 Na 0.500 0.500 0.000
13 Na 0.500 0.500 0.218
14 Na 0.500 0.500 0.406
15 Na 0.500 0.500 0.594
16 Na 0.500 0.500 0.782
17 Hg 0.000 0.000 0.218
18 Hg 0.000 0.000 0.406
19 Hg 0.000 0.000 0.594
20 Hg 0.000 0.000 0.782

Summary:
theoretical density	3.10	g/cm³
SG	P4/mmm, No. 123
density of states at the Fermi level	5.69	states/eV/f.u.
formation enthalpy at 0 K	-2.29	kcal/mol of atoms

# 3
The following is a DFT calculation (GGA-PBE) of crystalline RbPdBr at its relaxed geometry.

Cell: 4.586 4.586 4.870 Å, 90.00 90.00 120.00°
Element x y z (fractional)
1 Rb 0.000 0.000 0.000
2 Pd 0.667 0.333 0.500
3 Br 0.333 0.667 0.500

Summary:
theoretical density	5.09	g/cm³
SG	P-6m2, No. 187
distance to the lowest polymorph of the same formula	136	meV/atom
density of states at the Fermi level	0.13	states/eV/f.u.
E_form (uncorrected)	-585.1	meV per atom

# 4
The following is a DFT calculation (GGA-PBE) of crystalline CePu5S6 at its relaxed geometry.

Cell: 6.885 6.885 6.888 Å, 99.59 99.59 119.97°
Element x y z (fractional)
1 Ce 0.000 0.000 0.000
2 Pu 0.165 0.835 0.500
3 Pu 0.333 0.667 0.000
4 Pu 0.500 0.500 0.500
5 Pu 0.667 0.333 0.000
6 Pu 0.835 0.165 0.500
7 S 0.085 0.423 0.253
8 S 0.254 0.254 0.748
9 S 0.423 0.085 0.253
10 S 0.577 0.915 0.747
11 S 0.746 0.746 0.252
12 S 0.915 0.577 0.747

Summary:
theoretical density	9.67	g/cm³
SG	C2/m, No. 12
density of states at the Fermi level	42.51	states/eV/f.u.
E_form (uncorrected)	-1805.4	meV per atom

# 5
The following is a DFT calculation (GGA-PBE) of crystalline NbInF6 at its relaxed geometry.

Cell: 6.244 6.244 6.244 Å, 54.25 54.25 54.25°
Element x y z (fractional)
1 Nb 0.000 0.000 0.000
2 In 0.500 0.500 0.500
3 F 0.088 0.088 0.610
4 F 0.088 0.610 0.088
5 F 0.390 0.912 0.912
6 F 0.610 0.088 0.088
7 F 0.912 0.390 0.912
8 F 0.912 0.912 0.390

Summary:
theoretical density	3.58	g/cm³
SG	R-3m, No. 166
density of states at the Fermi level	0.00	states/eV/f.u.
E_form (uncorrected)	-2722.8	meV per atom

# 6
The following is a DFT calculation (GGA-PBE) of crystalline GePd3Pt at its relaxed geometry.

Cell: 5.992 5.992 9.233 Å, 95.53 95.53 28.02°
Element x y z (fractional)
1 Ge 0.074 0.074 0.182
2 Ge 0.926 0.926 0.818
3 Pd 0.153 0.153 0.455
4 Pd 0.243 0.243 0.765
5 Pd 0.382 0.382 0.036
6 Pd 0.618 0.618 0.964
7 Pd 0.757 0.757 0.235
8 Pd 0.847 0.847 0.545
9 Pt 0.457 0.457 0.340
10 Pt 0.543 0.543 0.660

Summary:
theoretical density	12.58	g/cm³
SG	C2/m, No. 12
distance to the lowest polymorph of the same formula	0	meV/atom
density of states at the Fermi level	3.19	states/eV/f.u.
formation enthalpy at 0 K	-6.38	kcal/mol of atoms

# 7
The following is a DFT calculation (GGA-PBE) of crystalline AcInBi2Pt2 at its relaxed geometry.

Cell: 6.876 6.876 6.876 Å, 131.03 131.03 71.76°
Element x y z (fractional)
1 Ac 0.000 0.000 0.000
2 In 0.500 0.500 0.000
3 Bi 0.250 0.750 0.500
4 Bi 0.750 0.250 0.500
5 Pt 0.263 0.263 0.000
6 Pt 0.737 0.737 0.000

Summary:
theoretical density	10.55	g/cm³
SG	I4/mmm, No. 139
density of states at the Fermi level	5.04	states/eV/f.u.
formation enthalpy at 0 K	-6.44	kcal/mol of atoms

# 8
The following is a DFT calculation (GGA-PBE) of crystalline Sm5DyY6 at its relaxed geometry.

Cell: 6.227 6.227 11.861 Å, 95.00 95.00 119.97°
Element x y z (fractional)
1 Sm 0.000 0.000 0.000
2 Sm 0.167 0.833 0.500
3 Sm 0.333 0.667 0.000
4 Sm 0.667 0.333 0.000
5 Sm 0.833 0.167 0.500
6 Dy 0.500 0.500 0.500
7 Y 0.084 0.417 0.251
8 Y 0.250 0.250 0.749
9 Y 0.417 0.084 0.251
10 Y 0.583 0.916 0.749
11 Y 0.750 0.750 0.251
12 Y 0.916 0.583 0.749

Summary:
theoretical density	6.13	g/cm³
SG	C2/m, No. 12
density of states at the Fermi level	15.76	states/eV/f.u.
formation enthalpy at 0 K	0.33	kcal/mol of atoms

no.,spin magnetization (μB per formula unit)
1,0.3
2,0.0
3,0.0
4,29.3
5,0.0
6,0.0
7,0.0
8,0.0